{"formula": "KLiRu", "functional": "PBE-GGA", "state": "relaxed", "total_magnetization_mub_per_cell": 0.574, "formation_enthalpy_0k_ev_per_atom": 0.771, "lattice": [[-1.307, 2.215, 5.795], [1.307, -2.215, 5.795], [1.307, 2.215, -5.795]], "species": ["K", "Li", "Ru"], "fractional_positions": [[0.000, 0.000, 0.000], [0.727, 0.727, 0.000], [0.291, 0.291, 0.000]]}